Entry 1:
This record from Alexandria describes a relaxed structure of Hg2GePRu. The functional is PBE-GGA.

## Properties
- E_tot (eV per atom) = -3.304
- volume (Å³/cell) = 114.1
- formation enthalpy at 0 K (meV/atom) = 677
- ΔE to the lowest computed polymorph (meV per atom) = 0

```
data_Hg2GePRu
_chemical_formula_sum 'Hg2 Ge1 P1 Ru1'
_space_group_name_H-M_alt 'P 4/m m m'
_space_group_IT_number 123
_space_group_name_Hall '-P 4 2'
_cell_length_a 5.092
_cell_length_b 5.092
_cell_length_c 4.399
_cell_angle_alpha 90.00
_cell_angle_beta 90.00
_cell_angle_gamma 90.00
loop_
_atom_site_label
_atom_site_type_symbol
_atom_site_fract_x
_atom_site_fract_y
_atom_site_fract_z
_atom_site_occupancy
Hg1 Hg 0.000 0.500 0.000 1
Ge1 Ge 0.000 0.000 0.500 1
P1 P 0.500 0.500 0.000 1
Ru1 Ru 0.500 0.500 0.500 1
```


Entry 2:
This record from Alexandria describes a relaxed structure of Hg2GePRu. The functional is PBE-GGA.

## Properties
- E_tot (eV per atom) = -3.158
- volume (Å³/cell) = 131.5
- formation enthalpy at 0 K (meV/atom) = 824
- ΔE to the lowest computed polymorph (meV per atom) = 146

```
data_Hg2GePRu
_chemical_formula_sum 'Hg2 Ge1 P1 Ru1'
_space_group_name_H-M_alt 'P 4/m m m'
_space_group_IT_number 123
_space_group_name_Hall '-P 4 2'
_cell_length_a 5.313
_cell_length_b 5.313
_cell_length_c 4.659
_cell_angle_alpha 90.00
_cell_angle_beta 90.00
_cell_angle_gamma 90.00
loop_
_atom_site_label
_atom_site_type_symbol
_atom_site_fract_x
_atom_site_fract_y
_atom_site_fract_z
_atom_site_occupancy
Hg1 Hg 0.000 0.500 0.000 1
Ge1 Ge 0.000 0.000 0.500 1
P1 P 0.500 0.500 0.500 1
Ru1 Ru 0.000 0.000 0.000 1
```


Question: Look up the ΔE to the lowest computed polymorph of the second one.
Answer: 146 meV per atom


Question: Look up the ΔE to the lowest computed polymorph of the first one.
Answer: 0 meV per atom


Question: volume of number 2 (Hg2GePRu)?
Answer: 131.5 Å³/cell